Compound: U2Si3Ru
Source: the Alexandria database
Functional: PBE-GGA
Structure: relaxed

The structure in CIF format:
```
data_U2Si3Ru
_chemical_formula_sum 'U4 Si6 Ru2'
_symmetry_space_group_name_H-M 'P 1'
_symmetry_Int_Tables_number 1
_cell_length_a 8.2324
_cell_length_b 8.2324
_cell_length_c 3.7280
_cell_angle_alpha 90.00
_cell_angle_beta 90.00
_cell_angle_gamma 120.00
loop_
_symmetry_equiv_pos_as_xyz
'x,y,z'
loop_
_atom_site_label
_atom_site_fract_x
_atom_site_fract_y
_atom_site_fract_z
U1 0.0000 0.0000 0.0000
U2 0.0000 0.5000 0.0000
U3 0.5000 0.0000 0.0000
U4 0.5000 0.5000 0.0000
Si1 0.1640 0.3280 0.5003
Si2 0.1640 0.8360 0.5003
Si3 0.3280 0.1640 0.4997
Si4 0.6720 0.8360 0.5003
Si5 0.8360 0.1640 0.4997
Si6 0.8360 0.6720 0.4997
Ru1 0.3333 0.6667 0.4992
Ru2 0.6667 0.3333 0.5008
```

Properties
VASP energy, eV for the cell shown: -101.64
Size of the total moment, μB per formula unit: 3.89
Formation energy from raw total energies, eV/atom: -0.45